Entry 1:
The following is a DFT calculation (PBE-GGA) of a relaxed Ta2MoAu crystal.

Summary:
crystal system: tetragonal
total magnetization: 0.000 μB/atom
formation enthalpy at 0 K: 0.097 eV/atom
D(E_F): 4.26 states/eV/cell
offset from the most stable computed form: 183 meV per atom
calculated total energy: -9.3567 eV per atom

Lattice parameters (Å, degrees): 5.1123 5.1123 5.1123 133.26 133.26 68.24
Sites, in units of the cell vectors:
Au1 0.5000 0.5000 0.0000
Mo1 0.7500 0.2500 0.5000
Ta1 0.0000 0.0000 0.0000
Ta2 0.2500 0.7500 0.5000

Entry 2:
The following is a DFT calculation (PBE-GGA) of a relaxed TaMo2Au crystal.

Summary:
crystal system: tetragonal
total magnetization: 0.000 μB/atom
formation enthalpy at 0 K: 0.183 eV/atom
D(E_F): 3.47 states/eV/cell
offset from the most stable computed form: 135 meV per atom
calculated total energy: -9.0147 eV per atom

Lattice parameters (Å, degrees): 2.7383 2.7383 9.0167 90.00 90.00 90.00
Sites, in units of the cell vectors:
Au1 0.5000 0.5000 0.7519
Mo1 0.0000 0.0000 0.9995
Mo2 0.5000 0.5000 0.2482
Ta1 0.0000 0.0000 0.5003

Entry 3:
The following is a DFT calculation (PBE-GGA) of a relaxed TaMo2Au crystal.

Summary:
crystal system: orthorhombic
total magnetization: 0.000 μB/atom
formation enthalpy at 0 K: 0.183 eV/atom
D(E_F): 2.82 states/eV/cell
offset from the most stable computed form: 135 meV per atom
calculated total energy: -9.0151 eV per atom

Lattice parameters (Å, degrees): 2.7336 4.2604 5.8035 90.00 90.00 90.00
Sites, in units of the cell vectors:
Au1 0.5000 0.5000 0.7501
Mo1 0.0000 0.0000 0.0097
Mo2 0.5000 0.5000 0.2425
Ta1 0.0000 0.0000 0.4977

Entry 4:
The following is a DFT calculation (PBE-GGA) of a relaxed TaMo2Au crystal.

Summary:
crystal system: tetragonal
total magnetization: 0.000 μB/atom
formation enthalpy at 0 K: 0.075 eV/atom
D(E_F): 4.89 states/eV/cell
offset from the most stable computed form: 27 meV per atom
calculated total energy: -9.1231 eV per atom

Lattice parameters (Å, degrees): 4.1912 3.9859 3.9859 90.00 90.00 90.00
Sites, in units of the cell vectors:
Au1 0.5000 0.0000 0.5000
Mo1 0.0000 0.0000 0.0000
Mo2 0.0000 0.5000 0.5000
Ta1 0.5000 0.5000 0.0000

Entry 5:
The following is a DFT calculation (PBE-GGA) of a relaxed TaTiMoAu crystal.

Summary:
crystal system: cubic
total magnetization: 0.000 μB/atom
formation enthalpy at 0 K: -0.103 eV/atom
D(E_F): 4.84 states/eV/cell
calculated total energy: -8.5671 eV per atom

Lattice parameters (Å, degrees): 4.5754 4.5754 4.5754 60.00 60.00 60.00
Sites, in units of the cell vectors:
Mo1 0.0000 0.0000 0.0000
Ti1 0.2500 0.2500 0.2500
Au1 0.5000 0.5000 0.5000
Ta1 0.7500 0.7500 0.7500

Entry 6:
The following is a DFT calculation (PBE-GGA) of a relaxed YTaMoAu2 crystal.

Summary:
crystal system: tetragonal
total magnetization: 0.000 μB/atom
formation enthalpy at 0 K: 0.669 eV/atom
D(E_F): 5.23 states/eV/cell
calculated total energy: -6.4711 eV per atom

Lattice parameters (Å, degrees): 5.1384 4.6580 5.1384 90.00 90.00 90.00
Sites, in units of the cell vectors:
Y1 0.5000 0.5000 0.5000
Mo1 0.0000 0.0000 0.0000
Au1 0.0000 0.0000 0.5000
Au2 0.5000 0.0000 0.0000
Ta1 0.0000 0.5000 0.0000

Entry 7:
The following is a DFT calculation (PBE-GGA) of a relaxed TcMoAu2 crystal.

Summary:
crystal system: orthorhombic
total magnetization: 0.000 μB/atom
formation enthalpy at 0 K: 0.248 eV/atom
D(E_F): 4.21 states/eV/cell
offset from the most stable computed form: 58 meV per atom
calculated total energy: -6.6897 eV per atom

Lattice parameters (Å, degrees): 2.8316 3.9773 5.8618 90.00 90.00 90.00
Sites, in units of the cell vectors:
Au1 0.0000 0.0000 0.9949
Au2 0.5000 0.5000 0.2539
Mo1 0.0000 0.0000 0.5217
Tc1 0.5000 0.5000 0.7295

Entry 8:
The following is a DFT calculation (PBE-GGA) of a relaxed TcMoAu2 crystal.

Summary:
crystal system: orthorhombic
total magnetization: 0.000 μB/atom
formation enthalpy at 0 K: 0.217 eV/atom
D(E_F): 3.17 states/eV/cell
offset from the most stable computed form: 27 meV per atom
calculated total energy: -6.7206 eV per atom

Lattice parameters (Å, degrees): 2.7616 2.7616 9.4304 90.00 90.00 110.52
Sites, in units of the cell vectors:
Au1 0.0000 0.0000 0.9907
Au2 0.5000 0.5000 0.2598
Mo1 0.0000 0.0000 0.5164
Tc1 0.5000 0.5000 0.7331

Entry 9:
The following is a DFT calculation (PBE-GGA) of a relaxed TcMo2Au crystal.

Summary:
crystal system: monoclinic
total magnetization: 0.000 μB/atom
formation enthalpy at 0 K: 0.154 eV/atom
D(E_F): 3.70 states/eV/cell
offset from the most stable computed form: 8 meV per atom
calculated total energy: -8.6722 eV per atom

Lattice parameters (Å, degrees): 3.9761 2.8416 6.3362 63.46 90.00 90.00
Sites, in units of the cell vectors:
Au1 0.5000 0.7500 0.7500
Mo1 0.0000 0.9746 0.0266
Mo2 0.0000 0.5254 0.4734
Tc1 0.5000 0.2500 0.2500

Entry 10:
The following is a DFT calculation (PBE-GGA) of a relaxed TcMo2Au crystal.

Summary:
crystal system: orthorhombic
total magnetization: 0.000 μB/atom
formation enthalpy at 0 K: 0.224 eV/atom
D(E_F): 3.53 states/eV/cell
offset from the most stable computed form: 79 meV per atom
calculated total energy: -8.6020 eV per atom

Lattice parameters (Å, degrees): 2.7246 2.7246 9.0185 90.00 90.00 106.54
Sites, in units of the cell vectors:
Au1 0.5000 0.5000 0.7500
Mo1 0.0000 0.0000 0.0137
Mo2 0.0000 0.0000 0.4863
Tc1 0.5000 0.5000 0.2500

Entry 11:
The following is a DFT calculation (PBE-GGA) of a relaxed TcMoAu crystal.

Summary:
crystal system: orthorhombic
total magnetization: 0.000 μB/atom
formation enthalpy at 0 K: 0.284 eV/atom
D(E_F): 2.81 states/eV/cell
offset from the most stable computed form: 55 meV per atom
calculated total energy: -7.8738 eV per atom

Lattice parameters (Å, degrees): 7.1341 6.9689 2.7570 82.12 75.38 22.51
Sites, in units of the cell vectors:
Au1 0.9999 0.9999 0.0001
Mo1 0.3238 0.3238 0.6762
Tc1 0.6763 0.6763 0.3237

Entry 12:
The following is a DFT calculation (PBE-GGA) of a relaxed TcMoAu crystal.

Summary:
crystal system: cubic
total magnetization: 0.000 μB/atom
formation enthalpy at 0 K: 0.748 eV/atom
D(E_F): 2.05 states/eV/cell
offset from the most stable computed form: 519 meV per atom
calculated total energy: -7.4098 eV per atom

Lattice parameters (Å, degrees): 4.3075 4.3075 4.3075 60.00 60.00 60.00
Sites, in units of the cell vectors:
Au1 0.5000 0.5000 0.5000
Mo1 0.7500 0.7500 0.7500
Tc1 0.0000 0.0000 0.0000

> What is the D(E_F) in the first record?

4.26 states/eV/cell

> What is the formula in the sixth record?

YTaMoAu2